The following is a DFT calculation (PBE) of a geometry-optimized Nd5AlCd2 structure.

Cell: 7.9307 7.9307 9.6155 Å, 114.36 114.36 90.00°
Positions (direct):
1 Nd 0.4918 0.3234 0.3152
2 Cd 0.6266 0.1266 0.0000
3 Nd 0.3234 0.8234 0.3152
4 Nd 0.9918 0.4918 0.3152
5 Cd 0.3734 0.8734 0.0000
6 Al 0.7500 0.7500 0.5000
7 Cd 0.1266 0.3734 0.0000
8 Nd 0.6766 0.1766 0.6848
9 Nd 0.0082 0.5082 0.6848
10 Nd 0.5082 0.6766 0.6848
11 Nd 0.0000 0.0000 0.0000
12 Nd 0.5000 0.5000 0.0000
13 Nd 0.1766 0.0082 0.6848
14 Al 0.2500 0.2500 0.5000
15 Cd 0.8734 0.6266 0.0000
16 Nd 0.8234 0.9918 0.3152

## Properties
Magnetization = 0.00 μB/cell
VASP energy = -3.8520 eV per atom



The following is a DFT calculation (PBE) of a geometry-optimized NpCuGeIr structure.

Cell: 4.5789 4.5789 4.5789 Å, 60.00 60.00 60.00°
Site moments in Bohr magnetons follow the coordinates.
Positions (direct):
1 Ir 0.5000 0.5000 0.5000  -0.19
2 Np 0.0000 0.0000 0.0000  3.37
3 Cu 0.7500 0.7500 0.7500  -0.03
4 Ge 0.2500 0.2500 0.2500  0.01

## Properties
Magnetization = 3.26 μB/cell
VASP energy = -7.6183 eV per atom



The following is a DFT calculation (PBE) of a geometry-optimized Cs2YTcI6 structure.

Cell: 8.2450 8.2450 8.2444 Å, 60.00 60.00 90.00°
Positions (direct):
1 Cs 0.7500 0.2500 0.5000
2 I 0.7604 0.7604 0.0000
3 I 0.2396 0.7604 0.0000
4 Tc 0.0000 0.0000 0.0000
5 Y 0.5000 0.5000 0.0000
6 Cs 0.2500 0.7500 0.5000
7 I 0.7604 0.2396 0.0000
8 I 0.2396 0.2396 0.0000
9 I 0.2396 0.2396 0.5207
10 I 0.7604 0.7604 0.4793

## Properties
Energy relative to the elements, uncorrected = -863 meV/atom
Magnetization = 0.00 μB/cell



The following is a DFT calculation (PBE) of a geometry-optimized Mg4IrAu structure.

Cell: 5.3533 5.3533 5.3533 Å, 60.00 60.00 60.00°
Positions (direct):
1 Ir 0.0000 0.0000 0.0000
2 Mg 0.3748 0.8756 0.3748
3 Mg 0.8756 0.3748 0.3748
4 Mg 0.3748 0.3748 0.3748
5 Mg 0.3748 0.3748 0.8756
6 Au 0.7500 0.7500 0.7500

## Properties
ΔE to the lowest computed polymorph = 545 meV per atom
Magnetization = 0.00 μB/cell



The following is a DFT calculation (PBE) of a geometry-optimized Sm2Co5C4 structure.

Cell: 4.9468 5.4403 5.6727 Å, 78.57 64.15 62.96°
Site moments in Bohr magnetons follow the coordinates.
Positions (direct):
1 Co 0.7500 0.5000 0.5000  0.39
2 C 0.7884 0.6853 0.7379  0.01
3 C 0.5263 0.6853 0.2621  0.01
4 Co 0.5000 0.0000 0.0000  0.66
5 Co 0.5000 0.5000 0.0000  0.41
6 C 0.2116 0.3147 0.2621  0.01
7 C 0.4737 0.3147 0.7379  0.01
8 Sm 0.1521 0.0000 0.6958  0.03
9 Co 0.2500 0.5000 0.5000  0.39
10 Sm 0.8479 0.0000 0.3042  0.03
11 Co 0.0000 0.5000 0.0000  0.41

## Properties
Magnetization = 2.42 μB/cell
VASP energy = -7.4735 eV per atom



The following is a DFT calculation (PBE) of a geometry-optimized Rb3BaB structure.

Cell: 6.7378 6.7378 6.7378 Å, 90.00 90.00 90.00°
Site moments in Bohr magnetons follow the coordinates.
Positions (direct):
1 Rb 0.0000 0.0000 0.5000  0.02
2 Rb 0.5000 0.0000 0.0000  0.02
3 Rb 0.0000 0.5000 0.0000  0.02
4 B 0.0000 0.0000 0.0000  0.51
5 Ba 0.5000 0.5000 0.5000  -0.02

## Properties
ΔE to the lowest computed polymorph = 0 meV per atom
Magnetization = 1.46 μB/cell



The following is a DFT calculation (PBE) of a geometry-optimized Th4TcOs structure.

Cell: 6.3334 6.7801 7.9484 Å, 90.00 108.29 90.00°
Positions (direct):
1 Os 0.7664 0.7500 0.9422
2 Th 0.9999 0.9994 0.7498
3 Th 0.0001 0.4994 0.2502
4 Th 0.9999 0.5006 0.7498
5 Th 0.4284 0.7500 0.1071
6 Tc 0.2383 0.2500 0.5623
7 Tc 0.7617 0.7500 0.4377
8 Os 0.2336 0.2500 0.0578
9 Th 0.5693 0.2500 0.3927
10 Th 0.4307 0.7500 0.6073
11 Th 0.0001 0.0006 0.2502
12 Th 0.5716 0.2500 0.8929

## Properties
ΔE to the lowest computed polymorph = 0 meV per atom
Magnetization = 0.00 μB/cell



The following is a DFT calculation (PBE) of a geometry-optimized Cr3As2 structure.

Cell: 3.9416 3.9416 5.7912 Å, 90.00 90.00 120.00°
Site moments in Bohr magnetons follow the coordinates.
Positions (direct):
1 As 0.6667 0.3333 0.2262  -0.12
2 Cr 0.0000 0.0000 0.0000  2.58
3 Cr 0.6667 0.3333 0.6519  1.93
4 As 0.3333 0.6667 0.7738  -0.12
5 Cr 0.3333 0.6667 0.3481  1.93

## Properties
ΔE to the lowest computed polymorph = 38 meV per atom
Magnetization = 6.57 μB/cell



The following is a DFT calculation (PBE) of a geometry-optimized La4YRh structure.

Cell: 6.1555 7.6365 9.7472 Å, 113.06 108.46 90.00°
Positions (direct):
1 Rh 0.2676 0.5001 0.0002
2 La 0.6160 0.8678 0.2315
3 La 0.3840 0.6362 0.7685
4 La 0.1747 0.6745 0.3490
5 La 0.3840 0.1322 0.7685
6 Y 0.1979 0.1979 0.3957
7 Rh 0.7324 0.4999 0.9998
8 La 0.0000 0.2052 0.0000
9 La 0.0000 0.7948 0.0000
10 La 0.6160 0.3638 0.2315
11 Y 0.8021 0.8021 0.6043
12 La 0.8253 0.3255 0.6510

## Properties
ΔE to the lowest computed polymorph = 0 meV per atom
Magnetization = 0.00 μB/cell



The following is a DFT calculation (PBE) of a geometry-optimized Na2PuAlO6 structure.

Cell: 5.4765 5.5150 7.7714 Å, 90.00 90.10 90.00°
Site moments in Bohr magnetons follow the coordinates.
Positions (direct):
1 Pu 0.0000 0.5000 0.5000  1.42
2 O 0.2881 0.7249 0.4682  -0.07
3 O 0.2760 0.7131 0.0320  -0.06
4 Al 0.0000 0.5000 0.0000  -0.01
5 O 0.9374 0.5106 0.2441  -0.06
6 O 0.7881 0.7751 0.9682  -0.07
7 Al 0.5000 0.0000 0.5000  -0.01
8 O 0.7240 0.2869 0.9680  -0.06
9 Na 0.5043 0.5206 0.7495  0.00
10 O 0.5626 0.0106 0.2559  -0.06
11 O 0.4374 0.9894 0.7441  -0.06
12 O 0.7119 0.2751 0.5318  -0.07
13 Pu 0.5000 0.0000 0.0000  1.42
14 O 0.0626 0.4894 0.7559  -0.06
15 Na 0.0043 0.9794 0.2495  0.00
16 Na 0.4957 0.4794 0.2505  0.00
17 O 0.7760 0.7869 0.5320  -0.06
18 O 0.2240 0.2131 0.4680  -0.06
19 Na 0.9957 0.0206 0.7505  0.00
20 O 0.2119 0.2249 0.0318  -0.07

## Properties
Energy relative to the elements, uncorrected = -2326 meV/atom
Magnetization = 1.99 μB/cell



The following is a DFT calculation (PBE) of a geometry-optimized Ba3Cd2Hg6 structure.

Cell: 4.6508 4.6508 17.6481 Å, 97.57 97.57 90.00°
Positions (direct):
1 Hg 0.7228 0.7228 0.4455
2 Hg 0.0772 0.5772 0.1543
3 Cd 0.6333 0.6333 0.2667
4 Hg 0.5772 0.0772 0.1543
5 Hg 0.4228 0.9228 0.8457
6 Hg 0.9228 0.4228 0.8457
7 Hg 0.2772 0.2772 0.5545
8 Ba 0.0000 0.0000 0.0000
9 Cd 0.3667 0.3667 0.7333
10 Ba 0.8216 0.8216 0.6432
11 Ba 0.1784 0.1784 0.3568

## Properties
Magnetization = 0.00 μB/cell
VASP energy = -1.1688 eV per atom



The following is a DFT calculation (PBE) of a geometry-optimized NaZn8Pd4 structure.

Cell: 5.5328 6.7820 6.7820 Å, 80.42 65.93 65.93°
Positions (direct):
1 Pd 0.5000 0.0000 0.5000
2 Zn 0.0000 0.6637 0.3363
3 Zn 0.7228 0.7772 0.7772
4 Pd 0.0000 0.5000 0.0000
5 Zn 0.6637 0.3363 0.3363
6 Zn 0.0000 0.3363 0.6637
7 Zn 0.5000 0.2228 0.7772
8 Pd 0.0000 0.0000 0.5000
9 Zn 0.5000 0.7772 0.2228
10 Pd 0.5000 0.5000 0.0000
11 Na 0.0000 0.0000 0.0000
12 Zn 0.3363 0.6637 0.6637
13 Zn 0.2772 0.2228 0.2228

## Properties
Magnetization = 0.00 μB/cell
VASP energy = -2.8465 eV per atom



The following is a DFT calculation (PBE) of a geometry-optimized Pm4ErIn structure.

Cell: 5.6776 6.4670 11.0056 Å, 90.00 104.95 90.00°
Positions (direct):
1 Er 0.6366 0.9384 0.2732
2 Er 0.3634 0.4384 0.7268
3 Pm 0.9561 0.2421 0.9121
4 Pm 0.0439 0.7421 0.0879
5 Pm 0.5622 0.4229 0.1243
6 Pm 0.4378 0.9229 0.8757
7 Pm 0.2487 0.0546 0.4974
8 Pm 0.7513 0.5546 0.5026
9 In 0.8962 0.6884 0.7923
10 Pm 0.1879 0.5870 0.3759
11 In 0.1038 0.1884 0.2077
12 Pm 0.8121 0.0870 0.6241

## Properties
ΔE to the lowest computed polymorph = 38 meV per atom
Magnetization = 0.00 μB/cell



The following is a DFT calculation (PBE) of a geometry-optimized Pm12InCo6 structure.

Cell: 8.6054 8.6054 8.6054 Å, 109.47 109.47 109.47°
Positions (direct):
1 Co 0.1113 0.6113 0.5000
2 In 0.0000 0.0000 0.0000
3 Co 0.6113 0.5000 0.1113
4 Pm 0.1929 0.6949 0.8878
5 Co 0.3887 0.5000 0.8887
6 Pm 0.3051 0.1122 0.8071
7 Pm 0.8071 0.3051 0.1122
8 Pm 0.8878 0.1929 0.6949
9 Pm 0.3051 0.4981 0.1929
10 Pm 0.1929 0.3051 0.4981
11 Pm 0.4981 0.1929 0.3051
12 Co 0.5000 0.1113 0.6113
13 Pm 0.5019 0.8071 0.6949
14 Co 0.8887 0.3887 0.5000
15 Pm 0.1122 0.8071 0.3051
16 Co 0.5000 0.8887 0.3887
17 Pm 0.6949 0.5019 0.8071
18 Pm 0.8071 0.6949 0.5019
19 Pm 0.6949 0.8878 0.1929

## Properties
Magnetization = 0.00 μB/cell
VASP energy = -5.5505 eV per atom



The following is a DFT calculation (PBE) of a geometry-optimized CuPO2F structure.

Cell: 4.2445 4.2445 3.4793 Å, 90.00 90.00 90.00°
Site moments in Bohr magnetons follow the coordinates.
Positions (direct):
1 F 0.0000 0.0000 0.0000  0.19
2 O 0.0000 0.5000 0.0000  0.52
3 Cu 0.5000 0.5000 0.5000  0.01
4 P 0.0000 0.0000 0.5000  -0.05
5 O 0.5000 0.0000 0.0000  0.52

## Properties
Energy relative to the elements, uncorrected = 892 meV/atom
Magnetization = 1.27 μB/cell



The following is a DFT calculation (PBE) of a geometry-optimized La4PdPtI2 structure.

Cell: 4.3633 7.4572 8.5963 Å, 106.78 90.00 90.00°
Positions (direct):
1 La 0.0000 0.7292 0.1892
2 Pd 0.0000 0.0000 0.0000
3 Pt 0.5000 0.5000 0.0000
4 I 0.0000 0.5000 0.5000
5 I 0.5000 0.0000 0.5000
6 La 0.5000 0.2361 0.1899
7 La 0.0000 0.2708 0.8108
8 La 0.5000 0.7639 0.8101

## Properties
Energy relative to the elements, uncorrected = -1086 meV/atom
Magnetization = 0.00 μB/cell



The following is a DFT calculation (PBE) of a geometry-optimized PaNbC structure.

Cell: 3.0342 3.0342 5.5582 Å, 105.84 105.84 90.00°
Positions (direct):
1 Pa 0.0117 0.0117 0.0234
2 Nb 0.2839 0.2839 0.5678
3 C 0.7044 0.7044 0.4088

## Properties
ΔE to the lowest computed polymorph = 358 meV per atom
Magnetization = 0.00 μB/cell



The following is a DFT calculation (PBE) of a geometry-optimized CdHgB2As structure.

Cell: 4.1154 6.2601 4.1154 Å, 90.00 90.00 90.00°
Positions (direct):
1 B 0.0000 0.0000 0.5000
2 Hg 0.0000 0.5000 0.0000
3 B 0.5000 0.0000 0.0000
4 As 0.0000 0.0000 0.0000
5 Cd 0.5000 0.5000 0.5000

## Properties
Magnetization = 0.00 μB/cell
VASP energy = -2.5249 eV per atom



The following is a DFT calculation (PBE) of a geometry-optimized Be2RhBr structure.

Cell: 3.0379 3.0379 6.1242 Å, 90.00 90.00 89.97°
Positions (direct):
1 Rh 0.5000 0.5000 0.7500
2 Be 0.0000 0.0000 0.9275
3 Br 0.5000 0.5000 0.2500
4 Be 0.0000 0.0000 0.5725

## Properties
Energy relative to the elements, uncorrected = -5 meV/atom
ΔE to the lowest computed polymorph = 180 meV per atom
Magnetization = 0.00 μB/cell



The following is a DFT calculation (PBE) of a geometry-optimized Cd2IrBr structure.

Cell: 3.7637 3.7637 7.4123 Å, 90.00 90.00 90.00°
Positions (direct):
1 Cd 0.0000 0.0000 0.0038
2 Cd 0.5000 0.5000 0.3222
3 Ir 0.0000 0.0000 0.3558
4 Br 0.5000 0.5000 0.8182

## Properties
Energy relative to the elements, uncorrected = 284 meV/atom
ΔE to the lowest computed polymorph = 265 meV per atom
Magnetization = 0.00 μB/cell